# In2BiSb, relaxed, DFT PBE-GGA
data_In2BiSb
_cell_length_a 3.9793
_cell_length_b 3.9793
_cell_length_c 20.0195
_cell_angle_alpha 90.00
_cell_angle_beta 90.00
_cell_angle_gamma 120.00
_space_group_name_H-M_alt 'P 1'
_space_group_IT_number 1
_space_group_name_Hall 'P 1'
loop_
_atom_site_label
_atom_site_fract_x
_atom_site_fract_y
_atom_site_fract_z
In1 0.3333 0.6667 0.0958
In2 0.3333 0.6667 0.4042
In3 0.6667 0.3333 0.5958
In4 0.6667 0.3333 0.9042
Bi1 0.3333 0.6667 0.2500
Bi2 0.6667 0.3333 0.7500
Sb1 0.0000 0.0000 0.0000
Sb2 0.0000 0.0000 0.5000
# Formation energy without anion corrections in eV/f.u.: 0.9
# Polymorph energy (0 for the lowest one) in kJ/mol of atoms: 25.4